Record 1
4
Lattice="-0.4104 -0.6125 -3.3978 -0.7538 -3.3233 0.6901 -8.3479 2.0270 0.6429" Properties=species:S:1:pos:R:3 comment="La2YRe meta-GGA SCAN single point on PBEsol structure" magnetic_moment_mub_per_fu=0.00 sg=P4mm e_tot_ev_per_atom=-46.09 formation_enthalpy_0k_ev_per_atom=0.20 pbc="T T T"
La -0.2574 0.0625 0.0198
La -3.0537 -1.3678 -1.1635
Re -4.0897 0.9930 0.3149
Y -6.2852 -0.5831 -0.9147

=====

Record 2
4
Lattice="-0.4116 -3.3700 -3.1236 0.3774 -3.1503 3.3491 -4.6398 0.0439 0.5641" Properties=species:S:1:pos:R:3 comment="La2YRe meta-GGA SCAN single point on PBEsol structure" magnetic_moment_mub_per_fu=0.00 sg=P4/mmm e_tot_ev_per_atom=-45.84 formation_enthalpy_0k_ev_per_atom=0.45 pbc="T T T"
La 0.1887 -1.5751 1.6745
La -0.2058 -1.6850 -1.5618
Re -2.3370 -3.2382 0.3948
Y -2.3199 0.0220 0.2820

=====

Record 3
4
Lattice="3.2698 0.0423 0.0000 -0.3193 5.5494 0.0000 -1.4753 -2.7959 5.3542" Properties=species:S:1:pos:R:3 comment="La2YRe meta-GGA SCAN single point on PBEsol structure" magnetic_moment_mub_per_fu=0.00 sg=C2/m e_tot_ev_per_atom=-45.72 formation_enthalpy_0k_ev_per_atom=0.57 pbc="T T T"
La -0.7376 -1.3979 2.6771
La 0.7376 1.3979 2.6771
Re 1.6349 0.0212 0.0000
Y -0.1596 2.7747 0.0000

=====

Record 4
5
Lattice="-2.2159 0.1044 2.6903 1.1196 -3.1330 1.0438 7.1418 5.6268 3.4042" Properties=species:S:1:pos:R:3 comment="La2Zn2Re meta-GGA SCAN single point on PBEsol structure" magnetic_moment_mub_per_fu=0.00 sg=I4/mmm e_tot_ev_per_atom=-36.76 formation_enthalpy_0k_ev_per_atom=0.10 pbc="T T T"
Re 0.0000 0.0000 0.0000
Zn 3.8567 0.4897 3.1575
Zn 2.1889 2.1084 3.9808
La 5.3746 3.3521 4.2967
La 0.6710 -0.7540 2.8417